VASP calculation (GGA+U) on a relaxed structure of EuCrO4.

Cell lengths 7.4377, 7.4377, 6.4444 Å; angles 90.00, 90.00, 90.00 degrees
Space group I4_1/amd (No. 141, origin choice 2)
Symmetry-distinct sites (fractional):
Eu 0.0000 0.2500 0.3750 (multiplicity 4)
Cr 0.0000 0.2500 0.8750 (multiplicity 4)
O 0.0000 0.0717 0.7124 (multiplicity 16)

- uncorrected energy (eV per atom) = -8.330